Run one
# LiTlCd, relaxed, DFT PBE
# **DOS(E_F)**: 0.397 states/eV/atom
# **Volume**: 68 Å³/f.u.
# **SG**: I4/mmm (139)
# **Magnetization**: 0.00 μB per cell
data_LiTlCd
_cell_length_a 13.3274
_cell_length_b 13.3274
_cell_length_c 13.3274
_cell_angle_alpha 166.12
_cell_angle_beta 166.12
_cell_angle_gamma 19.68
_symmetry_space_group_name_H-M 'P 1'
_symmetry_Int_Tables_number 1
loop_
_symmetry_equiv_pos_as_xyz
'x,y,z'
loop_
_atom_site_label
_atom_site_type_symbol
_atom_site_fract_x
_atom_site_fract_y
_atom_site_fract_z
Li1 Li 0.1379 0.1379 0.0000
Li2 Li 0.8621 0.8621 0.0000
Tl1 Tl 0.4407 0.4407 0.0000
Tl2 Tl 0.5593 0.5593 0.0000
Cd1 Cd 0.2933 0.2933 0.0000
Cd2 Cd 0.7067 0.7067 0.0000



Run two
# LiTlCd, relaxed, DFT PBE
# **DOS(E_F)**: 0.377 states/eV/atom
# **Volume**: 69 Å³/f.u.
# **SG**: C2/m (12)
# **Magnetization**: 0.00 μB per cell
data_LiTlCd
_cell_length_a 4.8500
_cell_length_b 4.8500
_cell_length_c 6.6796
_cell_angle_alpha 99.92
_cell_angle_beta 99.92
_cell_angle_gamma 64.32
_symmetry_space_group_name_H-M 'P 1'
_symmetry_Int_Tables_number 1
loop_
_symmetry_equiv_pos_as_xyz
'x,y,z'
loop_
_atom_site_label
_atom_site_type_symbol
_atom_site_fract_x
_atom_site_fract_y
_atom_site_fract_z
Li1 Li 0.0010 0.0010 0.2363
Li2 Li 0.9990 0.9990 0.7637
Tl1 Tl 0.3343 0.3343 0.6025
Tl2 Tl 0.6657 0.6657 0.3975
Cd1 Cd 0.3298 0.3298 0.0767
Cd2 Cd 0.6702 0.6702 0.9233



Most stable = run one



Run one
# LiTlCd, relaxed, DFT PBE
# **DOS(E_F)**: 0.486 states/eV/atom
# **Volume**: 72 Å³/f.u.
# **SG**: F-43m (216)
# **Magnetization**: 0.00 μB per cell
data_LiTlCd
_cell_length_a 4.6748
_cell_length_b 4.6748
_cell_length_c 4.6748
_cell_angle_alpha 60.00
_cell_angle_beta 60.00
_cell_angle_gamma 60.00
_symmetry_space_group_name_H-M 'P 1'
_symmetry_Int_Tables_number 1
loop_
_symmetry_equiv_pos_as_xyz
'x,y,z'
loop_
_atom_site_label
_atom_site_type_symbol
_atom_site_fract_x
_atom_site_fract_y
_atom_site_fract_z
Li1 Li 0.0000 0.0000 0.0000
Tl1 Tl 0.2500 0.2500 0.2500
Cd1 Cd 0.7500 0.7500 0.7500



Run two
# LiTlCd, relaxed, DFT PBE
# **DOS(E_F)**: 0.336 states/eV/atom
# **Volume**: 70 Å³/f.u.
# **SG**: P3m1 (156)
# **Magnetization**: 0.00 μB per cell
data_LiTlCd
_cell_length_a 3.3267
_cell_length_b 3.3267
_cell_length_c 7.2714
_cell_angle_alpha 90.00
_cell_angle_beta 90.00
_cell_angle_gamma 120.00
_symmetry_space_group_name_H-M 'P 1'
_symmetry_Int_Tables_number 1
loop_
_symmetry_equiv_pos_as_xyz
'x,y,z'
loop_
_atom_site_label
_atom_site_type_symbol
_atom_site_fract_x
_atom_site_fract_y
_atom_site_fract_z
Li1 Li 0.0000 0.0000 0.0000
Tl1 Tl 0.6667 0.3333 0.3253
Cd1 Cd 0.3333 0.6667 0.6950



Run three
# LiTlCd, relaxed, DFT PBE
# **DOS(E_F)**: 0.354 states/eV/atom
# **Volume**: 68 Å³/f.u.
# **SG**: Imm2 (44)
# **Magnetization**: 0.00 μB per cell
data_LiTlCd
_cell_length_a 5.3087
_cell_length_b 5.3087
_cell_length_c 5.3087
_cell_angle_alpha 142.54
_cell_angle_beta 131.05
_cell_angle_gamma 63.23
_symmetry_space_group_name_H-M 'P 1'
_symmetry_Int_Tables_number 1
loop_
_symmetry_equiv_pos_as_xyz
'x,y,z'
loop_
_atom_site_label
_atom_site_type_symbol
_atom_site_fract_x
_atom_site_fract_y
_atom_site_fract_z
Li1 Li 0.0000 0.0000 0.0000
Tl1 Tl 0.3310 0.3310 0.0000
Cd1 Cd 0.6632 0.6632 0.0000



Most stable = run three